No. 1
The following is a PBE calculation of an optimized crystal structure of SmYInN3, from Alexandria.

```
SmYInN3
1.0
6.522 0.000 0.000
0.000 3.363 0.000
-0.465 0.000 9.516
Sm Y In N
2 2 2 6
direct
0.194 0.250 0.247 Sm
0.806 0.750 0.753 Sm
0.329 0.750 0.895 Y
0.671 0.250 0.105 Y
0.175 0.250 0.590 In
0.825 0.750 0.410 In
0.098 0.250 0.810 N
0.202 0.750 0.449 N
0.404 0.750 0.132 N
0.596 0.250 0.868 N
0.798 0.250 0.551 N
0.902 0.750 0.190 N
```

- volume (Å³/cell) = 209
- calculated total energy (eV per atom) = -7.258

***

No. 2
The following is a PBE calculation of an optimized crystal structure of Sm2YInN, from Alexandria.

```
Sm2YInN
1.0
4.963 0.000 0.000
0.000 4.963 0.000
0.000 0.000 4.833
Sm Y In N
2 1 1 1
direct
0.000 0.500 0.000 Sm
0.500 0.000 0.000 Sm
0.000 0.000 0.500 Y
0.500 0.500 0.500 In
0.000 0.000 0.000 N
```

- volume (Å³/cell) = 119
- calculated total energy (eV per atom) = -6.339

***

Number 1: magnetization 0.00 μB/f.u.. Number 2: magnetization 0.00 μB/f.u..